No. 1
The following is a DFT calculation (PBE) of crystalline LaHo4S5 at its relaxed geometry.

Values from the calculation:
- magnetic moment (μB/cell) = 0.0
- energy (eV per atom) = -6.38

abc: 3.921 5.585 19.767
angles: 90.00 90.00 90.00
Space group Immm (No. 71)
Inequivalent atoms, fractional coordinates:
La  0.000  0.000  0.000 x2
Ho  0.000  0.000  0.203 x4
Ho  0.000  0.000  0.400 x4
S  0.000  0.500  0.000 x2
S  0.000  0.500  0.199 x4
S  0.000  0.500  0.392 x4

No. 2
The following is a DFT calculation (PBE) of crystalline LaP2W at its relaxed geometry.

Values from the calculation:
- magnetic moment (μB/cell) = 0.0
- energy (eV per atom) = -7.49
- energy relative to the lowest polymorph listed for this composition (meV/atom) = 376
- formation energy from the elements (eV/atom) = -0.3100

abc: 5.529 5.529 13.430
angles: 90.00 90.00 90.00
Space group I-42d (No. 122)
Inequivalent atoms, fractional coordinates:
La  0.000  0.000  0.000 x4
P  0.142  0.250  0.625 x8
W  0.000  0.000  0.500 x4

What is the formula in the second record?
LaP2W

What is the magnetic moment in the first record?
0.0 μB/cell

Copy entry 1 word for word.
The following is a DFT calculation (PBE) of crystalline LaHo4S5 at its relaxed geometry.

Values from the calculation:
- magnetic moment (μB/cell) = 0.0
- energy (eV per atom) = -6.38

abc: 3.921 5.585 19.767
angles: 90.00 90.00 90.00
Space group Immm (No. 71)
Inequivalent atoms, fractional coordinates:
La  0.000  0.000  0.000 x2
Ho  0.000  0.000  0.203 x4
Ho  0.000  0.000  0.400 x4
S  0.000  0.500  0.000 x2
S  0.000  0.500  0.199 x4
S  0.000  0.500  0.392 x4